1.
# Sc2AlIn (PBE, relaxed)
data_Sc2AlIn
_chemical_formula_sum 'Sc6 Al3 In3'
_cell_length_a 3.2344
_cell_length_b 3.2344
_cell_length_c 29.9613
_cell_angle_alpha 90.00
_cell_angle_beta 90.00
_cell_angle_gamma 120.00
_symmetry_space_group_name_H-M 'R 3 m'
_symmetry_Int_Tables_number 160
_symmetry_space_group_name_Hall 'R 3 -2"'
loop_
_atom_site_label
_atom_site_type_symbol
_atom_site_fract_x
_atom_site_fract_y
_atom_site_fract_z
Sc1 Sc 0.0000 0.0000 0.0000
Sc2 Sc 0.0000 0.0000 0.2481
Al1 Al 0.0000 0.0000 0.7475
In1 In 0.0000 0.0000 0.4941
# DFT total energy, eV for the cell shown: -58.2



2.
# Sc6AlIn3 (PBE, relaxed)
data_Sc6AlIn3
_chemical_formula_sum 'Sc12 Al2 In6'
_cell_length_a 8.6379
_cell_length_b 5.0048
_cell_length_c 10.8560
_cell_angle_alpha 90.00
_cell_angle_beta 108.25
_cell_angle_gamma 90.00
_symmetry_space_group_name_H-M 'P 1 21/m 1'
_symmetry_Int_Tables_number 11
loop_
_symmetry_equiv_pos_as_xyz
'x,y,z'
'-x,-y,-z'
'-x,y+1/2,-z'
'x,-y+1/2,z'
loop_
_atom_site_label
_atom_site_type_symbol
_atom_site_fract_x
_atom_site_fract_y
_atom_site_fract_z
Sc1 Sc 0.0432 0.2500 0.4168
Sc2 Sc 0.1708 0.7500 0.1766
Sc3 Sc 0.2636 0.2500 0.0079
Sc4 Sc 0.3507 0.7500 0.8069
Sc5 Sc 0.3606 0.2500 0.3248
Sc6 Sc 0.4126 0.2500 0.6241
Al1 Al 0.4580 0.7500 0.0973
In1 In 0.0293 0.7500 0.8822
In2 In 0.1254 0.2500 0.7174
In3 In 0.2774 0.7500 0.4752
# DFT total energy, eV for the cell shown: -107.2



3.
# Sc2Al2In (PBE, relaxed)
data_Sc2Al2In
_chemical_formula_sum 'Sc4 Al4 In2'
_cell_length_a 7.6902
_cell_length_b 7.6902
_cell_length_c 3.4464
_cell_angle_alpha 90.00
_cell_angle_beta 90.00
_cell_angle_gamma 90.00
_symmetry_space_group_name_H-M 'P 4/m b m'
_symmetry_Int_Tables_number 127
_symmetry_space_group_name_Hall '-P 4 2ab'
loop_
_atom_site_label
_atom_site_type_symbol
_atom_site_fract_x
_atom_site_fract_y
_atom_site_fract_z
Sc1 Sc 0.1779 0.3221 0.0000
Al1 Al 0.1185 0.6185 0.5000
In1 In 0.0000 0.0000 0.5000
# ΔE to the lowest computed polymorph, kJ/mol of formula units: 37



4.
# Sc4Al3In (PBE, relaxed)
data_Sc4Al3In
_chemical_formula_sum 'Sc8 Al6 In2'
_cell_length_a 9.8744
_cell_length_b 6.3774
_cell_length_c 5.1218
_cell_angle_alpha 90.00
_cell_angle_beta 90.00
_cell_angle_gamma 90.00
_symmetry_space_group_name_H-M 'P m m a'
_symmetry_Int_Tables_number 51
loop_
_symmetry_equiv_pos_as_xyz
'x,y,z'
'-x,-y,-z'
'-x+1/2,-y,z'
'x+1/2,y,-z'
'x+1/2,-y,-z'
'-x+1/2,y,z'
'-x,y,-z'
'x,-y,z'
loop_
_atom_site_label
_atom_site_type_symbol
_atom_site_fract_x
_atom_site_fract_y
_atom_site_fract_z
Sc1 Sc 0.0000 0.2438 0.0000
Sc2 Sc 0.2500 0.2444 0.3835
Al1 Al 0.0000 0.0000 0.5000
Al2 Al 0.2500 0.0000 0.8696
Al3 Al 0.2500 0.5000 0.8786
In1 In 0.0000 0.5000 0.5000
# DFT total energy, eV for the cell shown: -85.4



5.
# Sc2AlIn (PBE, relaxed)
data_Sc2AlIn
_chemical_formula_sum 'Sc2 Al1 In1'
_cell_length_a 3.3185
_cell_length_b 4.9727
_cell_length_c 5.0803
_cell_angle_alpha 90.00
_cell_angle_beta 90.00
_cell_angle_gamma 90.00
_symmetry_space_group_name_H-M 'P m m 2'
_symmetry_Int_Tables_number 25
loop_
_symmetry_equiv_pos_as_xyz
'x,y,z'
'-x,-y,z'
'-x,y,z'
'x,-y,z'
loop_
_atom_site_label
_atom_site_type_symbol
_atom_site_fract_x
_atom_site_fract_y
_atom_site_fract_z
Sc1 Sc 0.0000 0.0000 0.0000
Sc2 Sc 0.0000 0.5000 0.4162
Al1 Al 0.5000 0.5000 0.9186
In1 In 0.5000 0.0000 0.5079
# DFT total energy, eV for the cell shown: -20.8



6.
# Sc2Al4In (PBE, relaxed)
data_Sc2Al4In
_chemical_formula_sum 'Sc4 Al8 In2'
_cell_length_a 5.1323
_cell_length_b 5.1323
_cell_length_c 14.1190
_cell_angle_alpha 90.00
_cell_angle_beta 90.00
_cell_angle_gamma 90.00
_symmetry_space_group_name_H-M 'I 4/m m m'
_symmetry_Int_Tables_number 139
_symmetry_space_group_name_Hall '-I 4 2'
loop_
_atom_site_label
_atom_site_type_symbol
_atom_site_fract_x
_atom_site_fract_y
_atom_site_fract_z
Sc1 Sc 0.0000 0.0000 0.1094
Al1 Al 0.0000 0.0000 0.3101
Al2 Al 0.0000 0.5000 0.0000
In1 In 0.0000 0.0000 0.5000
# DFT total energy, eV for the cell shown: -53.5